[1]
SrGaRuO2: relaxed, PBEsol.

POSCAR file:
```
SrGaRuO2
1.0
4.0566 0.0000 0.0000
0.0000 4.0566 0.0000
0.0000 0.0000 4.6779
Ru O Ga Sr
1 2 1 1
direct
0.0000 0.0000 0.5000 Ru
0.0000 0.5000 0.0000 O
0.5000 0.0000 0.0000 O
0.0000 0.0000 0.0000 Ga
0.5000 0.5000 0.5000 Sr
```

- symmetry = P4/mmm
- density of states at the Fermi level (states/eV/cell) = 3.9
- formation energy from raw total energies (meV per atom) = -224


[2]
GaS2O: relaxed, PBEsol.

POSCAR file:
```
GaS2O
1.0
2.7586 0.0000 0.0000
1.3793 2.3890 0.0000
1.3793 0.7963 8.2359
S O Ga
2 1 1
direct
0.8984 0.8984 0.3047 S
0.1016 0.1016 0.6953 S
0.5000 0.5000 0.5000 O
0.0000 0.0000 0.0000 Ga
```

- symmetry = R-3m
- density of states at the Fermi level (states/eV/cell) = 2.3
- formation energy from raw total energies (meV per atom) = 603


[3]
GaSO2: relaxed, PBEsol.

POSCAR file:
```
GaSO2
1.0
2.9923 0.0000 0.0000
1.4961 2.5914 0.0000
1.4961 0.8638 5.9554
S O Ga
1 2 1
direct
0.0000 0.0000 0.0000 S
0.8900 0.8900 0.3301 O
0.1100 0.1100 0.6699 O
0.5000 0.5000 0.5000 Ga
```

- symmetry = R-3m
- density of states at the Fermi level (states/eV/cell) = 1.2
- formation energy from raw total energies (meV per atom) = -1014